## SmZn2GaNi2 (GGA-PBE)

Data for SmZn2GaNi2 after structural relaxation.

Computed properties:
DFT total energy   -3.78 eV/atom
Formation energy from the elements   -0.138 eV/atom
ρ   7.2 g/cm³

CIF file:
```
data_SmZn2GaNi2
_chemical_formula_sum 'Sm1 Zn2 Ga1 Ni2'
_symmetry_space_group_name_H-M 'P 4/m m m'
_symmetry_Int_Tables_number 123
_symmetry_space_group_name_Hall '-P 4 2'
_cell_length_a 4.397
_cell_length_b 4.397
_cell_length_c 5.619
_cell_angle_alpha 90.00
_cell_angle_beta 90.00
_cell_angle_gamma 90.00
loop_
_atom_site_label
_atom_site_fract_x
_atom_site_fract_y
_atom_site_fract_z
_atom_site_occupancy
Sm1 0.000 0.000 0.000 1
Zn1 0.500 0.500 0.247 1
Ga1 0.000 0.000 0.500 1
Ni1 0.000 0.500 0.500 1
```